Record 1
40
Lattice="-8.2273 1.3476 0.0143 -4.8912 -4.0159 -5.4270 -5.2694 -6.4148 3.0924" Properties=species:S:1:pos:R:3 comment="meta-GGA SCAN Li3V2P3O12, single point on PBEsol structure" magmom_total_mub_per_atom=0.2000 dos_at_fermi_per_ev_cell=13.98 raw_formation_energy_ev_per_atom=-2.60 relative_energy_mev_per_atom=11 dft_energy_ev_per_atom=-10.011 spacegroup=R-3 pbc="T T T"
O -6.0541 -4.5377 -3.2273
O -15.5610 -7.8584 -1.4712
Li -6.7808 -6.7104 0.8427
P -7.9334 -7.7725 -1.7602
O -12.3337 -4.5454 0.9070
Li -10.8258 -7.9833 -1.3342
Li -10.9296 -4.8132 2.2239
O -9.1296 -5.1448 1.5812
P -10.4569 -4.7477 -4.4389
V -9.5961 -7.0203 1.0366
O -9.2582 -3.9383 -3.9015
O -8.2122 -7.0651 -0.4176
P -10.4544 -1.3106 -0.5601
P -12.3877 -5.6476 -0.1780
Li -11.6070 -2.3727 -3.1630
O -5.4125 -2.2032 1.3035
O -12.9753 -6.8800 -3.6238
O -12.7153 -5.0745 -1.5389
P -6.0002 -3.4355 -2.1423
O -3.1717 -3.4718 0.2822
O -5.6725 -4.0086 -0.7814
O -11.0519 -6.4194 -0.2090
O -9.2669 -8.0559 -2.4927
V -13.5073 -5.0649 -3.2888
V -8.7917 -2.0628 -3.3569
O -12.6936 -8.5719 -1.7512
O -15.2162 -5.6113 -2.6025
V -4.8805 -4.0182 0.9685
Li -7.5621 -1.0999 -0.9861
O -9.1209 -1.0273 0.1724
O -10.1756 -2.0181 -1.9027
P -7.9309 -4.3354 2.1186
O -6.6113 -4.9069 1.5468
O -2.8268 -1.2247 -0.8491
O -11.7766 -4.1762 -3.8671
Li -7.4582 -4.2699 -4.5442
O -13.5403 -6.6094 0.3082
O -4.8475 -2.4737 -2.6286
O -5.6943 -0.5112 -0.5691
O -7.3359 -2.6638 -2.1113


Record 2
3
Lattice="-4.3771 -0.6364 -2.1151 -3.2702 -3.0542 2.0040 -4.0366 1.7866 2.1335" Properties=species:S:1:pos:R:3 comment="meta-GGA SCAN LiInSb, single point on PBEsol structure" magmom_total_mub_per_atom=0.0101 dos_at_fermi_per_ev_cell=2.68 raw_formation_energy_ev_per_atom=-0.19 relative_energy_mev_per_atom=0 dft_energy_ev_per_atom=-24.533 spacegroup=F-43m pbc="T T T"
In 0.0000 0.0000 0.0000
Sb -2.9210 -0.4760 0.5056
Li -5.8420 -0.9520 1.0112


Record 3
4
Lattice="3.6347 0.0000 0.0000 1.8174 3.1478 0.0000 1.8174 1.0493 10.7183" Properties=species:S:1:pos:R:3 comment="meta-GGA SCAN KTl3, single point on PBEsol structure" magmom_total_mub_per_atom=0.0000 dos_at_fermi_per_ev_cell=1.65 formation_energy_ev_per_atom=-0.016 dft_energy_ev_per_atom=-56.367 spacegroup=R-3m pbc="T T T"
Tl 1.8174 1.0493 2.8796
Tl 5.4521 3.1478 7.8387
K 0.0000 0.0000 0.0000
Tl 3.6347 2.0985 5.3591


Record 4
5
Lattice="5.0863 0.0000 0.0000 0.0000 5.0863 0.0000 0.0000 0.0000 5.0863" Properties=species:S:1:pos:R:3 comment="meta-GGA SCAN CsNbGe3, single point on PBEsol structure" magmom_total_mub_per_atom=0.0000 dos_at_fermi_per_ev_cell=3.08 formation_energy_ev_per_atom=0.053 dft_energy_ev_per_atom=-25.588 spacegroup=Pm-3m pbc="T T T"
Ge 2.5431 0.0000 0.0000
Cs 2.5431 2.5431 2.5431
Nb 0.0000 0.0000 0.0000
Ge 0.0000 2.5431 0.0000
Ge 0.0000 0.0000 2.5431


Record 5
5
Lattice="3.5083 0.0000 0.0000 0.0000 4.8284 0.0000 0.0000 0.0000 4.8284" Properties=species:S:1:pos:R:3 comment="meta-GGA SCAN HSeBr2F, single point on PBEsol structure" magmom_total_mub_per_atom=0.1641 dos_at_fermi_per_ev_cell=3.48 dft_energy_ev_per_atom=-12.695 spacegroup=P4/mmm pbc="T T T"
Se 1.7541 0.0000 0.0000
Br 0.0000 2.4142 0.0000
Br 0.0000 0.0000 2.4142
H 0.0000 0.0000 0.0000
F 1.7541 2.4142 2.4142


Record 6
4
Lattice="-0.0073 1.0434 2.5732 1.2332 -2.3042 0.9379 5.0818 2.3395 -0.9342" Properties=species:S:1:pos:R:3 comment="meta-GGA SCAN BeOs, single point on PBEsol structure" magmom_total_mub_per_atom=0.0000 dos_at_fermi_per_ev_cell=0.95 formation_energy_ev_per_atom=-0.299 dft_energy_ev_per_atom=-38.415 spacegroup=P4/nmm pbc="T T T"
Be 2.6922 -0.1966 0.0874
Os 4.9240 0.8309 -0.3229
Be 3.0025 1.9057 0.7340
Os 0.7708 0.8782 1.1442


Record 7
5
Lattice="4.3286 0.0000 0.0000 0.0000 4.3286 0.0000 0.0000 0.0000 4.3286" Properties=species:S:1:pos:R:3 comment="meta-GGA SCAN Fe3MoAu, single point on PBEsol structure" magmom_total_mub_per_atom=1.0742 dos_at_fermi_per_ev_cell=4.44 formation_energy_ev_per_atom=1.585 dft_energy_ev_per_atom=-30.101 spacegroup=Pm-3m pbc="T T T"
Fe 2.1643 0.0000 0.0000
Fe 0.0000 0.0000 2.1643
Au 2.1643 2.1643 2.1643
Mo 0.0000 0.0000 0.0000
Fe 0.0000 2.1643 0.0000


Record 8
4
Lattice="-2.1927 1.3764 2.8539 1.2525 -2.8115 2.3183 3.4507 3.0187 -1.4059" Properties=species:S:1:pos:R:3 comment="meta-GGA SCAN TaMnPt2, single point on PBEsol structure" magmom_total_mub_per_atom=0.7661 dos_at_fermi_per_ev_cell=2.13 formation_energy_ev_per_atom=-0.830 dft_energy_ev_per_atom=-57.137 spacegroup=I4/mmm pbc="T T T"
Mn 0.0000 0.0000 0.0000
Pt 0.3940 1.8388 2.0171
Pt 2.1166 -0.2552 1.7493
Ta -0.4701 -0.7175 2.5861


Repeat the third record exactly.
4
Lattice="3.6347 0.0000 0.0000 1.8174 3.1478 0.0000 1.8174 1.0493 10.7183" Properties=species:S:1:pos:R:3 comment="meta-GGA SCAN KTl3, single point on PBEsol structure" magmom_total_mub_per_atom=0.0000 dos_at_fermi_per_ev_cell=1.65 formation_energy_ev_per_atom=-0.016 dft_energy_ev_per_atom=-56.367 spacegroup=R-3m pbc="T T T"
Tl 1.8174 1.0493 2.8796
Tl 5.4521 3.1478 7.8387
K 0.0000 0.0000 0.0000
Tl 3.6347 2.0985 5.3591